DFT (meta-GGA SCAN) results for KY2Ni at its PBEsol-relaxed geometry.

Cell lengths 4.2214, 4.4020, 5.3680 Å; angles 90.00, 90.00, 90.00 degrees
Last column: nearest neighbours and their distance in Å.
Positions (direct):
K 0.0000 0.0000 0.0000  8 Y 3.05-3.41
Y 0.5000 0.0000 0.5000  4 Ni 3.05, 4 K 3.41
Y 0.5000 0.5000 0.0000  4 K 3.05, 4 Ni 3.41
Ni 0.0000 0.5000 0.5000  8 Y 3.05-3.41

Energy relative to the elements (eV/f.u.): 2.6
ΔE to the lowest computed polymorph (kJ/mol of atoms): 52.2
E (eV per formula unit): -77.56